The following is a GGA+U calculation of a geometry-optimized TmMnIrO6 structure, from Alexandria via LeMat-Bulk.

abc: 5.3614 5.3614 8.8246
angles: 90.00 90.00 120.00
Closest atoms and distances in Å follow each position.
Element x y z (fractional)
Tm (0.3333, 0.6667, 0.2500)  6 O 2.20
Tm (0.6667, 0.3333, 0.7500)  6 O 2.20
Mn (0.0000, 0.0000, 0.0000)  6 O 2.16
Mn (0.0000, 0.0000, 0.5000)  6 O 2.16
Ir (0.6667, 0.3333, 0.2500)  6 O 1.94
Ir (0.3333, 0.6667, 0.7500)  6 O 1.94
O (0.6748, 0.6369, 0.1263)  1 Ir 1.94, 1 Mn 2.16
O (0.9622, 0.3252, 0.1263)  1 Ir 1.94, 1 Mn 2.16
O (0.3252, 0.9622, 0.6263)  1 Ir 1.94, 1 Mn 2.16
O (0.0378, 0.6748, 0.8737)  1 Ir 1.94, 1 Mn 2.16
O (0.3631, 0.3252, 0.3737)  1 Ir 1.94, 1 Mn 2.16
O (0.9622, 0.6369, 0.3737)  1 Ir 1.94, 1 Mn 2.16
O (0.6369, 0.9622, 0.8737)  1 Ir 1.94, 1 Mn 2.16
O (0.6748, 0.0378, 0.3737)  1 Ir 1.94, 1 Mn 2.16
O (0.0378, 0.3631, 0.6263)  1 Ir 1.94, 1 Mn 2.16
O (0.3631, 0.0378, 0.1263)  1 Ir 1.94, 1 Mn 2.16
O (0.6369, 0.6748, 0.6263)  1 Ir 1.94, 1 Mn 2.16
O (0.3252, 0.3631, 0.8737)  1 Ir 1.94, 1 Mn 2.16

Output
As for the calculated density: 7.7 g/cm3. For the total magnetization, the calculation gives 0.3401 μB per atom. The calculation puts the total DFT energy (no corrections) at -129.89 eV for the cell shown.